#w
{"formula": "PrSmTlAu", "functional": "PBE-GGA", "state": "relaxed", "crystal_system": "tetragonal", "sg": "P4mm", "dos_at_fermi_per_ev_fu": 3.21, "cell": [[3.7260, 0.0000, 0.0000], [0.0000, 3.7260, 0.0000], [0.0000, 0.0000, 7.9683]], "species": ["Au", "Pr", "Tl", "Sm"], "fractional_positions": [[0.5000, 0.5000, 0.5919], [0.0000, 0.0000, 0.8403], [0.5000, 0.5000, 0.1148], [0.0000, 0.0000, 0.3809]]}

***

#x
{"formula": "PrSmTlAu", "functional": "PBE-GGA", "state": "relaxed", "crystal_system": "cubic", "sg": "F-43m", "dos_at_fermi_per_ev_fu": 4.21, "cell": [[-0.0716, 5.3737, -0.4824], [-4.2739, 2.4549, -2.1958], [-3.3033, 2.9423, 3.0895]], "species": ["Sm", "Tl", "Au", "Pr"], "fractional_positions": [[0.5000, 0.5000, 0.5000], [0.2500, 0.2500, 0.2500], [0.7500, 0.7500, 0.7500], [0.0000, 0.0000, 0.0000]]}

***

How do the energies compare? Relative to the most stable structure, in meV per atom: #w 0; #x 50.

***

#w
{"formula": "PrSnAu4", "functional": "PBE-GGA", "state": "relaxed", "crystal_system": "orthorhombic", "sg": "Cmcm", "dos_at_fermi_per_ev_fu": 2.70, "cell": [[5.1138, 0.0000, 0.0000], [0.0000, 7.4635, 0.0000], [-2.5569, 0.0000, 7.3915]], "species": ["Au", "Au", "Au", "Au", "Au", "Au", "Au", "Au", "Sn", "Sn", "Pr", "Pr"], "fractional_positions": [[0.2224, 0.4286, 0.4449], [0.0000, 0.0000, 0.0000], [0.7776, 0.5714, 0.5551], [0.2224, 0.0714, 0.4449], [0.0000, 0.5000, 0.0000], [0.5767, 0.7500, 0.1534], [0.4233, 0.2500, 0.8466], [0.7776, 0.9286, 0.5551], [0.8608, 0.2500, 0.7215], [0.1392, 0.7500, 0.2785], [0.6236, 0.2500, 0.2473], [0.3764, 0.7500, 0.7527]]}

***

#x
{"formula": "PrSnAu4", "functional": "PBE-GGA", "state": "relaxed", "crystal_system": "cubic", "sg": "F-43m", "dos_at_fermi_per_ev_fu": 3.96, "cell": [[5.7006, 0.0000, 0.0000], [2.8503, 4.9369, 0.0000], [2.8503, 1.6456, 4.6545]], "species": ["Au", "Au", "Au", "Au", "Sn", "Pr"], "fractional_positions": [[0.1246, 0.6251, 0.6251], [0.6251, 0.1246, 0.6251], [0.6251, 0.6251, 0.6251], [0.6251, 0.6251, 0.1246], [0.0000, 0.0000, 0.0000], [0.2500, 0.2500, 0.2500]]}

***

How do the energies compare? Relative to the most stable structure, in meV per atom: #w 60; #x 0.

***

#w
{"formula": "SrPr3Au2", "functional": "PBE-GGA", "state": "relaxed", "crystal_system": "orthorhombic", "sg": "Pmc2_1", "dos_at_fermi_per_ev_fu": 7.08, "cell": [[5.1488, 0.0000, 0.0000], [0.0000, 7.8021, 0.0000], [0.0000, 0.0000, 9.2766]], "species": ["Au", "Au", "Au", "Au", "Pr", "Pr", "Pr", "Pr", "Pr", "Pr", "Sr", "Sr"], "fractional_positions": [[0.5000, 0.7597, 0.8501], [0.5000, 0.2597, 0.1499], [0.0000, 0.2401, 0.6525], [0.0000, 0.7401, 0.3475], [0.0000, 0.9836, 0.0785], [0.5000, 0.1495, 0.8387], [0.5000, 0.6495, 0.1613], [0.0000, 0.4836, 0.9215], [0.0000, 0.3523, 0.3230], [0.0000, 0.8523, 0.6770], [0.5000, 0.5148, 0.5744], [0.5000, 0.0148, 0.4256]]}

***

#x
{"formula": "SrPr3Au2", "functional": "PBE-GGA", "state": "relaxed", "crystal_system": "monoclinic", "sg": "C2/m", "dos_at_fermi_per_ev_fu": 5.86, "cell": [[5.4229, 0.0000, 0.0000], [-2.7114, 9.3372, -0.6675], [0.0000, -4.8887, 7.7859]], "species": ["Au", "Au", "Au", "Au", "Sr", "Sr", "Pr", "Pr", "Pr", "Pr", "Pr", "Pr"], "fractional_positions": [[0.4941, 0.9882, 0.1465], [0.2210, 0.4421, 0.8186], [0.7790, 0.5579, 0.1814], [0.5059, 0.0118, 0.8535], [0.8631, 0.7261, 0.9401], [0.1369, 0.2739, 0.0599], [0.0642, 0.1285, 0.4079], [0.9358, 0.8715, 0.5921], [0.6220, 0.2440, 0.7337], [0.6911, 0.3822, 0.3803], [0.3089, 0.6178, 0.6197], [0.3780, 0.7560, 0.2663]]}

***

How do the energies compare? Relative to the most stable structure, in meV per atom: #w 0; #x 78.

***

#w
{"formula": "SrPr2Au", "functional": "PBE-GGA", "state": "relaxed", "crystal_system": "trigonal", "sg": "R3m", "dos_at_fermi_per_ev_fu": 6.47, "cell": [[4.6389, 0.0000, 0.0000], [2.3195, 4.0174, 0.0000], [2.3195, 1.3391, 8.6234]], "species": ["Au", "Sr", "Pr", "Pr"], "fractional_positions": [[0.6659, 0.6659, 0.0023], [0.5008, 0.5008, 0.4976], [0.0526, 0.0526, 0.8422], [0.2807, 0.2807, 0.1578]]}

***

#x
{"formula": "SrPr2Au", "functional": "PBE-GGA", "state": "relaxed", "crystal_system": "tetragonal", "sg": "P4/mmm", "dos_at_fermi_per_ev_fu": 6.55, "cell": [[3.8255, 0.0000, 0.0000], [0.0000, 3.8255, 0.0000], [0.0000, 0.0000, 9.8327]], "species": ["Sr", "Pr", "Pr", "Au"], "fractional_positions": [[0.5000, 0.5000, 0.5000], [0.0000, 0.0000, 0.8259], [0.0000, 0.0000, 0.1741], [0.5000, 0.5000, 0.0000]]}

***

#y
{"formula": "SrPr2Au", "functional": "PBE-GGA", "state": "relaxed", "crystal_system": "trigonal", "sg": "R-3m", "dos_at_fermi_per_ev_fu": 5.21, "cell": [[4.0711, 0.0000, 0.0000], [2.0355, 3.5257, 0.0000], [2.0355, 1.1752, 10.6268]], "species": ["Pr", "Pr", "Sr", "Au"], "fractional_positions": [[0.2729, 0.2729, 0.1814], [0.7271, 0.7271, 0.8186], [0.5000, 0.5000, 0.5000], [0.0000, 0.0000, 0.0000]]}

***

How do the energies compare? Relative to the most stable structure, in meV per atom: #w 94; #x 0; #y 55.

***

#w
{"formula": "SrPrAu", "functional": "PBE-GGA", "state": "relaxed", "crystal_system": "tetragonal", "sg": "I4mm", "dos_at_fermi_per_ev_fu": 3.37, "cell": [[3.8468, 0.0000, 0.0000], [0.0000, 3.8468, 0.0000], [-1.9234, -1.9234, 6.8408]], "species": ["Sr", "Au", "Pr"], "fractional_positions": [[0.0275, 0.0275, 0.0551], [0.6801, 0.6801, 0.3603], [0.2923, 0.2923, 0.5847]]}

***

#x
{"formula": "SrPrAu", "functional": "PBE-GGA", "state": "relaxed", "crystal_system": "trigonal", "sg": "P3m1", "dos_at_fermi_per_ev_fu": 2.89, "cell": [[4.7381, 0.0000, 0.0000], [0.0000, 5.0389, 0.0000], [0.0000, -2.5195, 4.3638]], "species": ["Au", "Sr", "Pr"], "fractional_positions": [[0.2600, 0.3333, 0.6667], [0.6232, 0.6667, 0.3333], [0.1167, 0.0000, 0.0000]]}

***

#y
{"formula": "SrPrAu", "functional": "PBE-GGA", "state": "relaxed", "crystal_system": "cubic", "sg": "F-43m", "dos_at_fermi_per_ev_fu": 3.55, "cell": [[-0.9737, -4.7800, -1.9836], [3.6883, -2.4801, -2.8243], [2.4411, -4.2223, 1.9862]], "species": ["Au", "Sr", "Pr"], "fractional_positions": [[0.2500, 0.2500, 0.2500], [0.5000, 0.5000, 0.5000], [0.0000, 0.0000, 0.0000]]}

***

How do the energies compare? Relative to the most stable structure, in meV per atom: #w 0; #x 152; #y 91.

***

#w
{"formula": "Sr2PrAu", "functional": "PBE-GGA", "state": "relaxed", "crystal_system": "trigonal", "sg": "R-3m", "dos_at_fermi_per_ev_fu": 4.24, "cell": [[-1.0847, 3.1945, 2.1639], [-3.5064, 0.0086, 1.9415], [3.6621, -3.5353, 10.7665]], "species": ["Pr", "Sr", "Sr", "Au"], "fractional_positions": [[0.0000, 0.0000, 0.0000], [0.8921, 0.8921, 0.3237], [0.1079, 0.1079, 0.6763], [0.5000, 0.5000, 0.5000]]}

***

#x
{"formula": "Sr2PrAu", "functional": "PBE-GGA", "state": "relaxed", "crystal_system": "tetragonal", "sg": "P4/mmm", "dos_at_fermi_per_ev_fu": 6.35, "cell": [[3.8038, 0.0000, 0.0000], [0.0000, 3.8038, 0.0000], [0.0000, 0.0000, 9.9869]], "species": ["Sr", "Sr", "Au", "Pr"], "fractional_positions": [[0.0000, 0.0000, 0.8093], [0.0000, 0.0000, 0.1907], [0.5000, 0.5000, 0.0000], [0.5000, 0.5000, 0.5000]]}

***

How do the energies compare? Relative to the most stable structure, in meV per atom: #w 195; #x 0.

***

#w
{"formula": "SrPrAu4", "functional": "PBE-GGA", "state": "relaxed", "crystal_system": "orthorhombic", "sg": "Pmmm", "dos_at_fermi_per_ev_fu": 3.05, "cell": [[3.7855, -0.0015, 0.0003], [0.0014, 4.9329, -0.0002], [-0.0006, 0.0001, 8.0680]], "species": ["Au", "Au", "Au", "Au", "Pr", "Sr"], "fractional_positions": [[0.4985, 0.9973, 0.8240], [0.4986, 0.4973, 0.3288], [0.4985, 0.9973, 0.1723], [0.4987, 0.4973, 0.6675], [0.9986, 0.9973, 0.4981], [0.9985, 0.4973, 0.9981]]}

***

#x
{"formula": "SrPrAu4", "functional": "PBE-GGA", "state": "relaxed", "crystal_system": "monoclinic", "sg": "C2/m", "dos_at_fermi_per_ev_fu": 4.01, "cell": [[-0.7883, 0.2267, 3.8331], [0.2377, -3.9012, 0.2981], [9.2807, 0.9664, 1.5653]], "species": ["Sr", "Au", "Au", "Au", "Au", "Pr"], "fractional_positions": [[0.5000, 0.5000, 0.5000], [0.4890, 0.4890, 0.8375], [0.0122, 0.0122, 0.6708], [0.9878, 0.9878, 0.3292], [0.5110, 0.5110, 0.1625], [0.0000, 0.0000, 0.0000]]}

***

How do the energies compare? Relative to the most stable structure, in meV per atom: #w 0; #x 93.

***

#w
{"formula": "TbPrAu2", "functional": "PBE-GGA", "state": "relaxed", "crystal_system": "monoclinic", "sg": "Pm", "dos_at_fermi_per_ev_fu": 2.40, "cell": [[3.6065, 0.0000, -1.3179], [0.0000, 4.7696, 0.0000], [0.1152, 0.0000, 5.9425]], "species": ["Pr", "Tb", "Au", "Au"], "fractional_positions": [[0.4431, 0.5000, 0.4259], [0.7197, 0.0000, 0.9776], [0.1713, 0.5000, 0.8808], [0.9970, 0.0000, 0.5337]]}

***

#x
{"formula": "TbPrAu2", "functional": "PBE-GGA", "state": "relaxed", "crystal_system": "cubic", "sg": "Fm-3m", "dos_at_fermi_per_ev_fu": 3.78, "cell": [[-4.2830, -2.9667, 0.0949], [-0.2520, -4.3062, -2.9236], [0.1315, -4.6941, 2.2588]], "species": ["Au", "Au", "Tb", "Pr"], "fractional_positions": [[0.2500, 0.2500, 0.2500], [0.7500, 0.7500, 0.7500], [0.5000, 0.5000, 0.5000], [0.0000, 0.0000, 0.0000]]}

***

How do the energies compare? Relative to the most stable structure, in meV per atom: #w 0; #x 39.

***

#w
{"formula": "Tb3Pr2Au2", "functional": "PBE-GGA", "state": "relaxed", "crystal_system": "triclinic", "sg": "P-1", "dos_at_fermi_per_ev_fu": 7.00, "cell": [[-3.2341, -1.9805, 0.2025], [6.1772, -6.5559, -1.0324], [-0.0163, -3.0127, 5.9485]], "species": ["Tb", "Tb", "Tb", "Pr", "Pr", "Au", "Au"], "fractional_positions": [[0.1593, 0.8146, 0.4962], [0.0000, 0.0000, 0.0000], [0.8407, 0.1854, 0.5038], [0.3283, 0.4401, 0.7814], [0.6717, 0.5599, 0.2186], [0.5402, 0.2082, 0.1274], [0.4598, 0.7918, 0.8726]]}

***

#x
{"formula": "Tb3Pr2Au2", "functional": "PBE-GGA", "state": "relaxed", "crystal_system": "monoclinic", "sg": "C2/m", "dos_at_fermi_per_ev_fu": 8.41, "cell": [[-3.7840, -0.1953, 0.2726], [2.3747, -5.9084, 2.2610], [0.0810, 6.9947, 6.1348]], "species": ["Tb", "Tb", "Tb", "Au", "Au", "Pr", "Pr"], "fractional_positions": [[0.3851, 0.7702, 0.5531], [0.5000, 0.0000, 0.0000], [0.6149, 0.2298, 0.4469], [0.8359, 0.6718, 0.7653], [0.1641, 0.3282, 0.2347], [0.1515, 0.3030, 0.8135], [0.8485, 0.6970, 0.1865]]}

***

How do the energies compare? Relative to the most stable structure, in meV per atom: #w 20; #x 0.

***

#w
{"formula": "TbPrZnAu", "functional": "PBE-GGA", "state": "relaxed", "crystal_system": "tetragonal", "sg": "P4mm", "dos_at_fermi_per_ev_fu": 3.66, "cell": [[-2.6463, 2.5179, -0.4151], [-1.0123, -1.5847, -3.1590], [-4.6345, -4.2727, 3.6285]], "species": ["Tb", "Zn", "Pr", "Au"], "fractional_positions": [[0.5000, 0.5000, 0.1080], [0.0000, 0.0000, 0.8749], [0.5000, 0.5000, 0.6124], [0.0000, 0.0000, 0.3326]]}

***

#x
{"formula": "TbPrZnAu", "functional": "PBE-GGA", "state": "relaxed", "crystal_system": "cubic", "sg": "F-43m", "dos_at_fermi_per_ev_fu": 2.29, "cell": [[-4.7251, -1.3479, 1.6804], [-0.5214, -2.6349, 4.4444], [-2.0326, 2.3260, 4.1744]], "species": ["Pr", "Tb", "Zn", "Au"], "fractional_positions": [[0.2500, 0.2500, 0.2500], [0.7500, 0.7500, 0.7500], [0.0000, 0.0000, 0.0000], [0.5000, 0.5000, 0.5000]]}

***

How do the energies compare? Relative to the most stable structure, in meV per atom: #w 0; #x 26.

***

#w
{"formula": "Pr2TeAu", "functional": "PBE-GGA", "state": "relaxed", "crystal_system": "trigonal", "sg": "R-3m", "dos_at_fermi_per_ev_fu": 4.36, "cell": [[-2.4642, 0.9423, -3.4540], [0.8846, -1.7965, -3.8575], [-5.1485, -6.1857, -0.7431]], "species": ["Au", "Te", "Pr", "Pr"], "fractional_positions": [[0.0000, 0.0000, 0.0000], [0.5000, 0.5000, 0.5000], [0.2547, 0.2547, 0.2350], [0.7453, 0.7453, 0.7650]]}

***

#x
{"formula": "Pr2TeAu", "functional": "PBE-GGA", "state": "relaxed", "crystal_system": "trigonal", "sg": "R3m", "dos_at_fermi_per_ev_fu": 3.71, "cell": [[4.3214, 0.0000, 0.0000], [2.1607, 3.7424, 0.0000], [2.1607, 1.2475, 7.8497]], "species": ["Au", "Te", "Pr", "Pr"], "fractional_positions": [[0.6676, 0.6676, 0.9972], [0.4991, 0.4991, 0.5027], [0.0761, 0.0761, 0.7718], [0.2572, 0.2572, 0.2283]]}

***

#y
{"formula": "Pr2TeAu", "functional": "PBE-GGA", "state": "relaxed", "crystal_system": "tetragonal", "sg": "P4/mmm", "dos_at_fermi_per_ev_fu": 4.05, "cell": [[-2.4067, -0.0250, 3.0616], [3.0500, -0.3605, 2.3946], [0.5092, 7.3655, 0.4604]], "species": ["Pr", "Pr", "Te", "Au"], "fractional_positions": [[0.0000, 0.0000, 0.2433], [0.0000, 0.0000, 0.7567], [0.5000, 0.5000, 0.5000], [0.5000, 0.5000, 0.0000]]}

***

#z
{"formula": "Pr2TeAu", "functional": "PBE-GGA", "state": "relaxed", "crystal_system": "orthorhombic", "sg": "Cmcm", "dos_at_fermi_per_ev_fu": 2.83, "cell": [[-1.1863, -2.4578, 3.8735], [0.2715, -3.5810, -2.1891], [11.5640, 0.8514, 4.0819]], "species": ["Te", "Te", "Pr", "Pr", "Pr", "Pr", "Au", "Au"], "fractional_positions": [[0.7500, 0.8075, 0.6150], [0.2500, 0.1925, 0.3850], [0.7500, 0.9395, 0.8790], [0.2500, 0.0605, 0.1210], [0.7500, 0.6741, 0.3482], [0.2500, 0.3259, 0.6518], [0.7500, 0.5414, 0.0828], [0.2500, 0.4586, 0.9172]]}

***

How do the energies compare? Relative to the most stable structure, in meV per atom: #w 25; #x 58; #y 111; #z 0.

***

#w
{"formula": "Pr5Te4Au", "functional": "PBE-GGA", "state": "relaxed", "crystal_system": "tetragonal", "sg": "I4/mmm", "dos_at_fermi_per_ev_fu": 8.13, "cell": [[-1.7747, 3.8250, 1.5803], [-2.7866, 0.1669, -3.5334], [-8.5382, -10.3772, 9.1126]], "species": ["Pr", "Pr", "Pr", "Pr", "Pr", "Te", "Te", "Te", "Te", "Au"], "fractional_positions": [[0.3002, 0.3002, 0.6005], [0.0974, 0.0974, 0.1948], [0.9026, 0.9026, 0.8052], [0.5000, 0.5000, 0.0000], [0.6998, 0.6998, 0.3995], [0.1985, 0.1985, 0.3969], [0.6000, 0.6000, 0.2000], [0.8015, 0.8015, 0.6031], [0.4000, 0.4000, 0.8000], [0.0000, 0.0000, 0.0000]]}

***

#x
{"formula": "Pr5Te4Au", "functional": "PBE-GGA", "state": "relaxed", "crystal_system": "tetragonal", "sg": "I4/m", "dos_at_fermi_per_ev_fu": 5.18, "cell": [[1.2250, 5.6805, 2.6817], [2.0097, -0.3752, 7.5139], [7.4389, 2.2442, -0.5148]], "species": ["Au", "Pr", "Pr", "Pr", "Pr", "Pr", "Te", "Te", "Te", "Te"], "fractional_positions": [[0.0011, 0.0000, 0.0000], [0.9015, 0.3878, 0.8113], [0.7128, 0.1887, 0.3878], [0.1005, 0.6122, 0.1887], [0.2892, 0.8113, 0.6122], [0.5012, 0.0000, 0.0000], [0.1971, 0.2102, 0.3976], [0.8049, 0.7898, 0.6024], [0.4073, 0.3976, 0.7898], [0.5947, 0.6024, 0.2102]]}

***

How do the energies compare? Relative to the most stable structure, in meV per atom: #w 31; #x 0.